Below is an optimized crystal structure of CsCBr2, with properties calculated at the PBE level.

Calculated values
Total magnetization in μB/f.u.: 1.00
Energy relative to the elements, uncorrected in meV/atom: 1044
Energy in eV per atom: -2.3113
D(E_F) in states/eV per atom: 1.10

Cell: 8.059 8.059 8.059 Å, 90.00 90.00 90.00°
Space group Fm-3m (No. 225)
Symmetry-distinct sites (fractional):
Cs1 0.000 0.000 0.000 [4 per cell]
C1 0.000 0.000 0.500 [4 per cell]
Br1 0.250 0.250 0.250 [8 per cell]